Record 1
Computed, not measured: Zr2SbI after structural relaxation at the PBE level of DFT.

Space-group type: I-42d

a b c (Å): 7.7597 7.7597 6.5762
angles (deg): 53.84 53.84 90.00
Closest atoms and distances in Å follow each position.
Element x y z (fractional)
Zr  0.1219  0.6250  0.2500  2 I 2.87, 2 Sb 2.91
I  0.0000  0.0000  0.0000  4 Zr 2.87
I  0.7500  0.2500  0.5000  4 Zr 2.87
Zr  0.8750  0.8781  0.7500  2 I 2.87, 2 Sb 2.91
Zr  0.3750  0.3719  0.7500  2 I 2.87, 2 Sb 2.91
Sb  0.5000  0.5000  0.0000  4 Zr 2.91
Zr  0.6281  0.1250  0.2500  2 I 2.87, 2 Sb 2.91
Sb  0.2500  0.7500  0.5000  4 Zr 2.91

***

Record 2
Computed, not measured: ZrSb2I after structural relaxation at the PBE level of DFT.

Excess energy over the best structure of this formula in the dataset (meV/atom): 213.5
Space-group type: Fm-3m

a b c (Å): 5.3335 5.3335 5.3335
angles (deg): 60.00 60.00 60.00
Closest atoms and distances in Å follow each position.
Element x y z (fractional)
Sb  0.2500  0.2500  0.2500  4 Zr 3.27, 4 I 3.27
Zr  0.0000  0.0000  0.0000  8 Sb 3.27
I  0.5000  0.5000  0.5000  8 Sb 3.27
Sb  0.7500  0.7500  0.7500  4 Zr 3.27, 4 I 3.27

***

Record 3
Computed, not measured: ZrSb3I after structural relaxation at the PBE level of DFT.

Excess energy over the best structure of this formula in the dataset (meV/atom): 1099.6
Space-group type: Pm-3m

a b c (Å): 5.6058 5.6058 5.6058
angles (deg): 90.00 90.00 90.00
Closest atoms and distances in Å follow each position.
Element x y z (fractional)
Sb  0.5000  0.0000  0.0000  2 I 2.80
Sb  0.0000  0.0000  0.5000  2 I 2.80
Sb  0.0000  0.5000  0.0000  2 I 2.80
Zr  0.5000  0.5000  0.5000  12 Sb 3.96
I  0.0000  0.0000  0.0000  6 Sb 2.80

***

Record 4
Computed, not measured: ZrSbI2 after structural relaxation at the PBE level of DFT.

Excess energy over the best structure of this formula in the dataset (meV/atom): 365.6
Space-group type: Fm-3m

a b c (Å): 5.3220 5.3220 5.3220
angles (deg): 60.00 60.00 60.00
Closest atoms and distances in Å follow each position.
Element x y z (fractional)
I  0.7500  0.7500  0.7500  4 Zr 3.26, 4 Sb 3.26
Sb  0.5000  0.5000  0.5000  8 I 3.26
I  0.2500  0.2500  0.2500  4 Sb 3.26, 4 Zr 3.26
Zr  0.0000  0.0000  0.0000  8 I 3.26

***

Record 5
Computed, not measured: ZrSbI2 after structural relaxation at the PBE level of DFT.

Excess energy over the best structure of this formula in the dataset (meV/atom): 0.0
Space-group type: I-42d

a b c (Å): 10.5211 10.5211 7.9571
angles (deg): 48.61 48.61 90.00
Closest atoms and distances in Å follow each position.
Element x y z (fractional)
I  0.2688  0.6250  0.2500  2 Zr 2.94
Sb  0.7500  0.2500  0.5000  2 Zr 2.82
I  0.8750  0.7312  0.7500  2 Zr 2.94
Sb  0.0000  0.0000  0.0000  2 Zr 2.82
Zr  0.5000  0.5000  0.0000  2 Sb 2.82, 4 I 2.94
Zr  0.2500  0.7500  0.5000  2 Sb 2.82, 4 I 2.94
I  0.3750  0.5188  0.7500  2 Zr 2.94
I  0.4812  0.1250  0.2500  2 Zr 2.94

***

Record 6
Computed, not measured: ScI after structural relaxation at the PBE level of DFT.

Space-group type: F-43m

a b c (Å): 6.5896 6.5896 6.5896
angles (deg): 90.00 90.00 90.00
Closest atoms and distances in Å follow each position.
Element x y z (fractional)
Sc  0.7500  0.2500  0.7500  4 I 2.85
Sc  0.2500  0.7500  0.7500  4 I 2.85
I  0.0000  0.5000  0.5000  4 Sc 2.85
Sc  0.2500  0.2500  0.2500  4 I 2.85
I  0.5000  0.5000  0.0000  4 Sc 2.85
I  0.5000  0.0000  0.5000  4 Sc 2.85
Sc  0.7500  0.7500  0.2500  4 I 2.85
I  0.0000  0.0000  0.0000  4 Sc 2.85

***

Record 7
Computed, not measured: ScI4 after structural relaxation at the PBE level of DFT.

Space-group type: Pm-3m

a b c (Å): 5.7779 5.7779 5.7779
angles (deg): 90.00 90.00 90.00
Closest atoms and distances in Å follow each position.
Element x y z (fractional)
I  0.5000  0.0000  0.5000  2 Sc 2.89
I  0.0000  0.0000  0.0000  12 I 4.09
I  0.0000  0.5000  0.5000  2 Sc 2.89
Sc  0.5000  0.5000  0.5000  6 I 2.89
I  0.5000  0.5000  0.0000  2 Sc 2.89

***

Record 8
Computed, not measured: ScI after structural relaxation at the PBE level of DFT.

Space-group type: I-43m

a b c (Å): 9.2051 9.2051 9.2051
angles (deg): 90.00 90.00 90.00
Closest atoms and distances in Å follow each position.
Element x y z (fractional)
Sc  0.3842  0.3842  0.6158  4 I 3.01-3.05, 3 Sc 3.01
I  0.1957  0.8043  0.1957  4 Sc 3.01-3.05
I  0.3043  0.6957  0.6957  4 Sc 3.01-3.05
I  0.8043  0.8043  0.8043  4 Sc 3.01-3.05
I  0.3043  0.3043  0.3043  4 Sc 3.01-3.05
I  0.1957  0.1957  0.8043  4 Sc 3.01-3.05
Sc  0.3842  0.6158  0.3842  4 I 3.01-3.05, 3 Sc 3.01
I  0.6957  0.3043  0.6957  4 Sc 3.01-3.05
Sc  0.6158  0.3842  0.3842  4 I 3.01-3.05, 3 Sc 3.01
Sc  0.1158  0.8842  0.8842  4 I 3.01-3.05, 3 Sc 3.01
Sc  0.8842  0.8842  0.1158  4 I 3.01-3.05, 3 Sc 3.01
I  0.8043  0.1957  0.1957  4 Sc 3.01-3.05
Sc  0.6158  0.6158  0.6158  4 I 3.01-3.05, 3 Sc 3.01
Sc  0.1158  0.1158  0.1158  4 I 3.01-3.05, 3 Sc 3.01
Sc  0.8842  0.1158  0.8842  4 I 3.01-3.05, 3 Sc 3.01
I  0.6957  0.6957  0.3043  4 Sc 3.01-3.05

***

Record 9
Computed, not measured: ScI after structural relaxation at the PBE level of DFT.

Space-group type: I4/m

a b c (Å): 11.8827 11.8827 3.8878
angles (deg): 90.00 90.00 90.00
Closest atoms and distances in Å follow each position.
Element x y z (fractional)
Sc  0.9114  0.3835  0.5000  3 I 2.97-3.01, 4 Sc 3.13
Sc  0.3835  0.0886  0.5000  3 I 2.97-3.01, 4 Sc 3.13
Sc  0.0886  0.6165  0.5000  3 I 2.97-3.01, 4 Sc 3.13
Sc  0.1165  0.4114  0.0000  3 I 2.97-3.01, 4 Sc 3.13
I  0.2814  0.5989  0.0000  3 Sc 2.97-3.01
I  0.7814  0.0989  0.5000  3 Sc 2.97-3.01
I  0.7186  0.4011  0.0000  3 Sc 2.97-3.01
I  0.2186  0.9011  0.5000  3 Sc 2.97-3.01
Sc  0.8835  0.5886  0.0000  3 I 2.97-3.01, 4 Sc 3.13
I  0.0989  0.2186  0.5000  3 Sc 2.97-3.01
I  0.4011  0.2814  0.0000  3 Sc 2.97-3.01
Sc  0.5886  0.1165  0.0000  3 I 2.97-3.01, 4 Sc 3.13
Sc  0.6165  0.9114  0.5000  3 I 2.97-3.01, 4 Sc 3.13
I  0.5989  0.7186  0.0000  3 Sc 2.97-3.01
I  0.9011  0.7814  0.5000  3 Sc 2.97-3.01
Sc  0.4114  0.8835  0.0000  3 I 2.97-3.01, 4 Sc 3.13

***

Record 10
Computed, not measured: ScI after structural relaxation at the PBE level of DFT.

Space-group type: P6_3/m

a b c (Å): 10.9207 10.9207 3.8646
angles (deg): 90.00 90.00 120.00
Closest atoms and distances in Å follow each position.
Element x y z (fractional)
Sc  0.1592  0.5171  0.7500  4 I 2.93-3.09, 2 Sc 3.09
Sc  0.5171  0.3579  0.2500  4 I 2.93-3.09, 2 Sc 3.09
I  0.3334  0.0315  0.2500  4 Sc 2.93-3.09
Sc  0.6421  0.1592  0.2500  4 I 2.93-3.09, 2 Sc 3.09
I  0.3019  0.3334  0.7500  4 Sc 2.93-3.09
Sc  0.8408  0.4829  0.2500  4 I 2.93-3.09, 2 Sc 3.09
I  0.6666  0.9685  0.7500  4 Sc 2.93-3.09
I  0.9685  0.3019  0.2500  4 Sc 2.93-3.09
Sc  0.3579  0.8408  0.7500  4 I 2.93-3.09, 2 Sc 3.09
I  0.6981  0.6666  0.2500  4 Sc 2.93-3.09
I  0.0315  0.6981  0.7500  4 Sc 2.93-3.09
Sc  0.4829  0.6421  0.7500  4 I 2.93-3.09, 2 Sc 3.09

***

The records above give, respectively, final energy values of -5.554; -4.252; -3.256; -3.792; -4.157; -4.018; -3.128; -4.255; -4.624; -4.477 eV per atom.
The records above give, respectively, uncorrected formation energy values of 138; 334; 1237; 151; -215; -77; -621; -314; -683; -536 meV per atom.